1.
Li2SiPdC | Alexandria via LeMat-Bulk | PBE | optimized geometry; ΔE_f (raw) = 705 meV/atom; theoretical density = 3.2 Mg/m³
1.0
4.9916 0.0000 0.0000
0.0000 4.9916 0.0000
0.0000 0.0000 3.3793
Li Si Pd C
2 1 1 1
Direct
0.0000 0.5000 0.0000
0.5000 0.0000 0.0000
0.0000 0.0000 0.0000
0.5000 0.5000 0.5000
0.0000 0.0000 0.5000

---

2.
LiSn2PdC | Alexandria via LeMat-Bulk | PBE | optimized geometry; theoretical density = 5.1 Mg/m³; formation energy from the elements = 1078 meV per atom
1.0
5.0627 0.0000 0.0000
0.0000 5.0627 0.0000
0.0000 0.0000 4.5725
Li Sn Pd C
1 2 1 1
Direct
0.0000 0.0000 0.0000
0.0000 0.5000 0.5000
0.5000 0.0000 0.5000
0.0000 0.0000 0.5000
0.5000 0.5000 0.0000

---

Number 1: M_tot 0.0 μB per cell. Number 2: M_tot 1.2 μB per cell.